! Cr3IrPd (GGA-PBEsol, relaxed); values from VASP
&SYSTEM
  ibrav = 0, nat = 5, ntyp = 3
/
ATOMIC_SPECIES
Cr 52.00 Cr.upf
Ir 192.22 Ir.upf
Pd 106.42 Pd.upf
ATOMIC_POSITIONS crystal
Cr 0.000 0.000 0.500
Cr 0.000 0.500 0.000
Cr 0.500 0.000 0.000
Ir 0.000 0.000 0.000
Pd 0.500 0.500 0.500
CELL_PARAMETERS angstrom
4.584 0.000 0.000
0.000 4.584 0.000
0.000 0.000 4.584
! Total magnetization: 9.532 μB/cell
! Energy of formation from the pure elements: 1399 meV per atom
! Crystal system: cubic
! Symmetry: Pm-3m, No. 221
! Uncorrected energy: -7.90 eV/atom

! BaF2 (GGA-PBEsol, relaxed); values from VASP
&SYSTEM
  ibrav = 0, nat = 3, ntyp = 2
/
ATOMIC_SPECIES
Ba 137.33 Ba.upf
F 19.00 F.upf
ATOMIC_POSITIONS crystal
Ba 0.000 0.000 0.000
F 0.250 0.250 0.250
F 0.750 0.750 0.750
CELL_PARAMETERS angstrom
0.000 3.085 3.085
3.085 0.000 3.085
3.085 3.085 0.000
! Total magnetization: 0.007 μB/cell
! Crystal system: cubic
! Symmetry: Fm-3m, No. 225
! Uncorrected energy: -5.88 eV/atom

! LuMoBrO4 (GGA-PBEsol, relaxed); values from VASP
&SYSTEM
  ibrav = 0, nat = 28, ntyp = 4
/
ATOMIC_SPECIES
Lu 174.97 Lu.upf
Mo 95.94 Mo.upf
Br 79.90 Br.upf
O 16.00 O.upf
ATOMIC_POSITIONS crystal
Lu 0.122 0.332 0.234
Lu 0.166 0.094 0.730
Lu 0.834 0.906 0.270
Lu 0.878 0.668 0.766
Mo 0.225 0.817 0.134
Mo 0.268 0.583 0.626
Mo 0.732 0.417 0.374
Mo 0.775 0.183 0.866
Br 0.236 0.984 0.480
Br 0.308 0.278 0.013
Br 0.692 0.722 0.987
Br 0.764 0.016 0.520
O 0.091 0.011 0.189
O 0.152 0.736 0.956
O 0.155 0.778 0.706
O 0.157 0.623 0.200
O 0.164 0.499 0.445
O 0.228 0.386 0.696
O 0.463 0.346 0.330
O 0.496 0.894 0.203
O 0.504 0.106 0.797
O 0.537 0.654 0.670
O 0.772 0.614 0.304
O 0.836 0.501 0.555
O 0.843 0.377 0.800
O 0.845 0.222 0.294
O 0.848 0.264 0.044
O 0.909 0.989 0.811
CELL_PARAMETERS angstrom
6.817 0.000 0.000
-0.703 7.060 0.000
-3.317 -2.554 9.733
! Total magnetization: 0.000 μB/cell
! Crystal system: triclinic
! Symmetry: P-1, No. 2
! Uncorrected energy: -8.09 eV/atom

! HfAlSn3 (GGA-PBEsol, relaxed); values from VASP
&SYSTEM
  ibrav = 0, nat = 5, ntyp = 3
/
ATOMIC_SPECIES
Hf 178.49 Hf.upf
Al 26.98 Al.upf
Sn 118.71 Sn.upf
ATOMIC_POSITIONS crystal
Hf 0.000 0.000 0.000
Al 0.500 0.500 0.500
Sn 0.000 0.000 0.500
Sn 0.000 0.500 0.000
Sn 0.500 0.000 0.000
CELL_PARAMETERS angstrom
5.425 0.000 0.000
0.000 5.425 0.000
0.000 0.000 5.425
! Total magnetization: 0.000 μB/cell
! Energy of formation from the pure elements: 524 meV per atom
! Crystal system: cubic
! Symmetry: Pm-3m, No. 221
! Uncorrected energy: -4.95 eV/atom

! CuRhNF2 (GGA-PBEsol, relaxed); values from VASP
&SYSTEM
  ibrav = 0, nat = 5, ntyp = 4
/
ATOMIC_SPECIES
Cu 63.55 Cu.upf
Rh 102.91 Rh.upf
N 14.01 N.upf
F 19.00 F.upf
ATOMIC_POSITIONS crystal
Cu 0.000 0.000 0.000
Rh 0.500 0.500 0.500
N 0.000 0.000 0.500
F 0.000 0.500 0.000
F 0.500 0.000 0.000
CELL_PARAMETERS angstrom
3.609 0.000 0.000
0.000 3.609 0.000
0.000 0.000 4.241
! Total magnetization: 1.721 μB/cell
! Crystal system: tetragonal
! Symmetry: P4/mmm, No. 123
! Uncorrected energy: -4.64 eV/atom

! LiPt2W (GGA-PBEsol, relaxed); values from VASP
&SYSTEM
  ibrav = 0, nat = 4, ntyp = 3
/
ATOMIC_SPECIES
Li 6.94 Li.upf
Pt 195.08 Pt.upf
W 183.84 W.upf
ATOMIC_POSITIONS crystal
Li 0.000 0.000 0.000
Pt 0.498 0.498 0.000
Pt 0.723 0.223 0.500
W 0.290 0.790 0.500
CELL_PARAMETERS angstrom
-1.350 2.197 5.281
1.350 -2.197 5.281
1.350 2.197 -5.281
! Total magnetization: 0.000 μB/cell
! Energy of formation from the pure elements: -188 meV per atom
! Crystal system: orthorhombic
! Symmetry: Imm2, No. 44
! Uncorrected energy: -7.61 eV/atom

! LiSc2Tl2 (GGA-PBEsol, relaxed); values from VASP
&SYSTEM
  ibrav = 0, nat = 10, ntyp = 3
/
ATOMIC_SPECIES
Li 6.94 Li.upf
Sc 44.96 Sc.upf
Tl 204.38 Tl.upf
ATOMIC_POSITIONS crystal
Li 0.000 0.000 0.000
Li 0.500 0.500 0.000
Sc 0.159 0.341 0.500
Sc 0.341 0.841 0.500
Sc 0.659 0.159 0.500
Sc 0.841 0.659 0.500
Tl 0.148 0.648 0.000
Tl 0.352 0.148 0.000
Tl 0.648 0.852 0.000
Tl 0.852 0.352 0.000
CELL_PARAMETERS angstrom
7.211 0.000 0.000
0.000 7.211 0.000
0.000 0.000 4.315
! Total magnetization: 0.001 μB/cell
! Energy of formation from the pure elements: -260 meV per atom
! Crystal system: tetragonal
! Symmetry: P4/mbm, No. 127
! Uncorrected energy: -4.35 eV/atom

! CaSmCd2 (GGA-PBEsol, relaxed); values from VASP
&SYSTEM
  ibrav = 0, nat = 4, ntyp = 3
/
ATOMIC_SPECIES
Ca 40.08 Ca.upf
Sm 150.36 Sm.upf
Cd 112.41 Cd.upf
ATOMIC_POSITIONS crystal
Ca 0.000 0.000 0.000
Sm 0.500 0.500 0.500
Cd 0.250 0.250 0.250
Cd 0.750 0.750 0.750
CELL_PARAMETERS angstrom
0.000 3.740 3.740
3.740 0.000 3.740
3.740 3.740 0.000
! Total magnetization: 0.000 μB/cell
! Energy of formation from the pure elements: -369 meV per atom
! Crystal system: cubic
! Symmetry: Fm-3m, No. 225
! Uncorrected energy: -2.77 eV/atom

! Rb3IrF6 (GGA-PBEsol, relaxed); values from VASP
&SYSTEM
  ibrav = 0, nat = 10, ntyp = 3
/
ATOMIC_SPECIES
Rb 85.47 Rb.upf
Ir 192.22 Ir.upf
F 19.00 F.upf
ATOMIC_POSITIONS crystal
Rb 0.000 0.000 0.000
Rb 0.250 0.250 0.250
Rb 0.750 0.750 0.750
Ir 0.500 0.500 0.500
F 0.280 0.280 0.720
F 0.280 0.720 0.280
F 0.280 0.720 0.720
F 0.720 0.280 0.280
F 0.720 0.280 0.720
F 0.720 0.720 0.280
CELL_PARAMETERS angstrom
0.000 4.569 4.569
4.569 0.000 4.569
4.569 4.569 0.000
! Total magnetization: 0.181 μB/cell
! Crystal system: cubic
! Symmetry: Fm-3m, No. 225
! Uncorrected energy: -4.67 eV/atom

! NaCaB3 (GGA-PBEsol, relaxed); values from VASP
&SYSTEM
  ibrav = 0, nat = 5, ntyp = 3
/
ATOMIC_SPECIES
Na 22.99 Na.upf
Ca 40.08 Ca.upf
B 10.81 B.upf
ATOMIC_POSITIONS crystal
Na 0.000 0.000 0.000
Ca 0.500 0.500 0.500
B 0.000 0.500 0.500
B 0.500 0.000 0.500
B 0.500 0.500 0.000
CELL_PARAMETERS angstrom
4.819 0.000 0.000
0.000 4.819 0.000
0.000 0.000 4.819
! Total magnetization: 0.033 μB/cell
! Energy of formation from the pure elements: 2378 meV per atom
! Crystal system: cubic
! Symmetry: Pm-3m, No. 221
! Uncorrected energy: -2.54 eV/atom

! KSb2F7 (GGA-PBEsol, relaxed); values from VASP
&SYSTEM
  ibrav = 0, nat = 40, ntyp = 3
/
ATOMIC_SPECIES
K 39.10 K.upf
Sb 121.76 Sb.upf
F 19.00 F.upf
ATOMIC_POSITIONS crystal
K 0.070 0.172 0.328
K 0.070 0.328 0.828
K 0.930 0.672 0.172
K 0.930 0.828 0.672
Sb 0.247 0.698 0.489
Sb 0.247 0.802 0.989
Sb 0.402 0.193 0.670
Sb 0.402 0.307 0.170
Sb 0.598 0.693 0.830
Sb 0.598 0.807 0.330
Sb 0.753 0.198 0.011
Sb 0.753 0.302 0.511
F 0.091 0.650 0.963
F 0.091 0.850 0.463
F 0.125 0.516 0.380
F 0.125 0.984 0.880
F 0.196 0.630 0.697
F 0.196 0.870 0.197
F 0.218 0.218 0.635
F 0.218 0.282 0.135
F 0.351 0.577 0.191
F 0.351 0.923 0.691
F 0.379 0.131 0.431
F 0.379 0.369 0.931
F 0.383 0.048 0.073
F 0.383 0.452 0.573
F 0.617 0.548 0.427
F 0.617 0.952 0.927
F 0.621 0.631 0.069
F 0.621 0.869 0.569
F 0.649 0.077 0.309
F 0.649 0.423 0.809
F 0.782 0.718 0.865
F 0.782 0.782 0.365
F 0.804 0.130 0.803
F 0.804 0.370 0.303
F 0.875 0.016 0.120
F 0.875 0.484 0.620
F 0.909 0.150 0.537
F 0.909 0.350 0.037
CELL_PARAMETERS angstrom
10.746 0.000 0.000
0.000 7.497 0.000
-1.761 0.000 8.129
! Total magnetization: 0.000 μB/cell
! Crystal system: monoclinic
! Symmetry: P2_1/c, No. 14
! Uncorrected energy: -4.88 eV/atom

! CdTe2Se (GGA-PBEsol, relaxed); values from VASP
&SYSTEM
  ibrav = 0, nat = 4, ntyp = 3
/
ATOMIC_SPECIES
Cd 112.41 Cd.upf
Te 127.60 Te.upf
Se 78.96 Se.upf
ATOMIC_POSITIONS crystal
Cd 0.000 0.000 0.000
Te 0.428 0.428 0.000
Te 0.733 0.233 0.500
Se 0.173 0.673 0.500
CELL_PARAMETERS angstrom
-1.973 1.996 6.771
1.973 -1.996 6.771
1.973 1.996 -6.771
! Total magnetization: 0.000 μB/cell
! Crystal system: orthorhombic
! Symmetry: Imm2, No. 44
! Uncorrected energy: -2.99 eV/atom

! ZrMoRu (GGA-PBEsol, relaxed); values from VASP
&SYSTEM
  ibrav = 0, nat = 3, ntyp = 3
/
ATOMIC_SPECIES
Zr 91.22 Zr.upf
Mo 95.94 Mo.upf
Ru 101.07 Ru.upf
ATOMIC_POSITIONS crystal
Zr 0.000 0.000 0.000
Mo 0.324 0.324 0.000
Ru 0.670 0.670 0.000
CELL_PARAMETERS angstrom
-1.599 1.599 4.811
1.599 -1.599 4.811
1.599 1.599 -4.811
! Total magnetization: 0.000 μB/cell
! Energy of formation from the pure elements: -69 meV per atom
! Crystal system: tetragonal
! Symmetry: I4mm, No. 107
! Uncorrected energy: -10.41 eV/atom